1.
RbB | PBE | relaxed

As for the density of states at the Fermi level: 11.92 states/eV per cell. The formation energy is 1.138 eV per atom.

The structure belongs to space group Fddd (No. 70, origin choice 2); the cell edges are 7.1988, 10.8635 and 12.8834 Å and the angles 90.00°, 90.00° and 90.00°. The inequivalent atoms are Rb at (0.1250, 0.3259, 0.1250) and B at (0.0148, 0.1250, 0.6250).

=====

2.
RbB | PBE | relaxed

As for the density of states at the Fermi level: 1.59 states/eV per cell. The formation energy is 0.335 eV per atom.

The structure belongs to space group P1 (No. 1); the cell edges are 3.2289, 6.2793 and 6.2918 Å and the angles 89.94°, 86.04° and 88.38°. The inequivalent atoms are Rb at (0.0000, 0.0000, 0.0000), Rb at (0.4908, 0.5002, 0.5001), B at (0.2427, 0.4992, 0.0020) and B at (0.7429, 0.5008, 0.9983).

=====

3.
Rb2ReB | PBE | relaxed

As for the density of states at the Fermi level: 2.93 states/eV per cell. The formation energy is 1.189 eV per atom.

The structure belongs to space group I-42d (No. 122); the cell edges are 12.9083, 12.9083 and 4.1685 Å and the angles 90.00°, 90.00° and 90.00°. The inequivalent atoms are Rb at (0.0377, 0.2500, 0.1250), Re at (0.0000, 0.0000, 0.5000) and B at (0.0000, 0.0000, 0.0000).

=====

Results for total DFT energy (no corrections): -2.684 -3.487 -4.076 (in eV/atom, following the order of the records).